a | The following is a DFT calculation (PBE with a Hubbard U) of a relaxed structure of CrPHO2.

As for the total magnetization: 1.14 μB/f.u. Its calculated volume is 66 Å³/cell. As for the space group: No. 123.

The structure in POSCAR format:
```
CrPHO2
1.0
-0.922 0.563 -3.376
0.171 -3.484 -0.628
-5.091 -0.485 1.310
Cr H O P
1 1 2 1
direct
0.000 0.000 0.000
0.500 0.500 0.500
0.000 0.500 0.000
0.500 0.000 0.000
0.000 0.000 0.500
```

b | The following is a DFT calculation (PBE with a Hubbard U) of a relaxed structure of CrPHO2.

As for the total magnetization: 3.91 μB/f.u. Its calculated volume is 48 Å³/cell. As for the space group: No. 123.

The structure in POSCAR format:
```
CrPHO2
1.0
-3.222 2.411 0.233
-1.843 -2.692 2.368
1.145 1.302 2.371
Cr H O P
1 1 2 1
direct
0.500 0.500 0.500
0.000 0.000 0.000
0.000 0.500 0.000
0.500 0.000 0.000
0.000 0.000 0.500
```

Relative calculated energies, zero for the most stable structure, unit meV/atom: a 0; b 221.

a | The following is a DFT calculation (PBE with a Hubbard U) of a relaxed structure of VCrP2H2O10.

As for the total magnetization: 3.00 μB/f.u. Its calculated volume is 176 Å³/cell. As for the space group: No. 2.

The structure in POSCAR format:
```
VCrP2H2O10
1.0
-3.626 -2.536 -2.694
4.335 -1.886 -2.440
0.078 -2.676 6.809
V Cr P H O
1 1 2 2 10
direct
0.000 0.000 0.500
0.000 0.000 0.000
0.667 0.331 0.745
0.333 0.669 0.255
0.333 0.971 0.807
0.667 0.029 0.193
0.878 0.063 0.245
0.122 0.937 0.755
0.860 0.289 0.618
0.140 0.711 0.382
0.646 0.755 0.414
0.354 0.245 0.586
0.740 0.627 0.881
0.260 0.373 0.119
0.676 0.131 0.862
0.324 0.869 0.138
```

b | The following is a DFT calculation (PBE with a Hubbard U) of a relaxed structure of VCrP2H2O10.

As for the total magnetization: 1.00 μB/f.u. Its calculated volume is 192 Å³/cell. As for the space group: No. 2.

The structure in POSCAR format:
```
VCrP2H2O10
1.0
5.030 -0.152 -0.075
-1.095 5.392 1.739
-2.002 -0.400 7.001
V Cr P H O
1 1 2 2 10
direct
0.000 0.000 0.500
0.000 0.000 0.000
0.507 0.672 0.730
0.493 0.328 0.270
0.365 0.785 0.348
0.635 0.215 0.652
0.781 0.252 0.302
0.621 0.784 0.538
0.286 0.266 0.084
0.812 0.251 0.761
0.043 0.158 0.727
0.957 0.842 0.273
0.188 0.749 0.239
0.714 0.734 0.916
0.379 0.216 0.462
0.219 0.748 0.698
```

Relative calculated energies, zero for the most stable structure, unit meV/atom: a 0; b 598.

a | The following is a DFT calculation (PBE with a Hubbard U) of a relaxed structure of CrHPdO.

As for the total magnetization: 3.23 μB/f.u. Its calculated volume is 101 Å³/cell. As for the space group: No. 38.

The structure in POSCAR format:
```
CrHPdO
1.0
2.936 0.000 0.000
0.000 3.189 0.000
0.000 0.000 10.788
Cr H Pd O
2 2 2 2
direct
0.000 0.000 0.814
0.000 0.500 0.314
0.500 0.000 0.688
0.500 0.500 0.188
0.500 0.000 0.124
0.500 0.500 0.624
0.500 0.000 0.925
0.500 0.500 0.425
```

b | The following is a DFT calculation (PBE with a Hubbard U) of a relaxed structure of CrHPdO.

As for the total magnetization: 3.51 μB/f.u. Its calculated volume is 46 Å³/cell. As for the space group: No. 123.

The structure in POSCAR format:
```
CrHPdO
1.0
2.829 0.000 0.000
0.000 2.829 0.000
0.000 0.000 5.749
Cr H Pd O
1 1 1 1
direct
0.500 0.500 0.000
0.000 0.000 0.500
0.500 0.500 0.500
0.000 0.000 0.000
```

Relative calculated energies, zero for the most stable structure, unit meV/atom: a 275; b 0.

a | The following is a DFT calculation (PBE with a Hubbard U) of a relaxed structure of CrHPdO.

As for the total magnetization: 3.33 μB/f.u. Its calculated volume is 143 Å³/cell. As for the space group: No. 160.

The structure in POSCAR format:
```
CrHPdO
1.0
3.049 0.000 0.000
-1.524 2.640 0.000
0.000 0.000 17.779
Cr H Pd O
3 3 3 3
direct
0.000 0.000 0.370
0.333 0.667 0.036
0.667 0.333 0.703
0.000 0.000 0.159
0.333 0.667 0.826
0.667 0.333 0.493
0.000 0.000 0.516
0.333 0.667 0.183
0.667 0.333 0.850
0.000 0.000 0.656
0.333 0.667 0.323
0.667 0.333 0.989
```

b | The following is a DFT calculation (PBE with a Hubbard U) of a relaxed structure of CrHPdO.

As for the total magnetization: 3.99 μB/f.u. Its calculated volume is 98 Å³/cell. As for the space group: No. 8.

The structure in POSCAR format:
```
CrHPdO
1.0
-2.109 0.607 6.139
0.079 -3.014 0.325
5.215 0.148 0.102
Cr H Pd O
2 2 2 2
direct
0.076 0.000 0.852
0.076 0.500 0.352
0.727 0.000 0.106
0.727 0.500 0.606
0.413 0.000 0.325
0.413 0.500 0.825
0.887 0.000 0.156
0.887 0.500 0.656
```

c | The following is a DFT calculation (PBE with a Hubbard U) of a relaxed structure of CrHPdO.

As for the total magnetization: 3.23 μB/f.u. Its calculated volume is 88 Å³/cell. As for the space group: No. 8.

The structure in POSCAR format:
```
CrHPdO
1.0
5.717 0.000 -0.349
0.000 3.047 0.000
-1.369 0.000 5.157
Cr H Pd O
2 2 2 2
direct
0.132 0.000 0.878
0.132 0.500 0.378
0.471 0.000 0.654
0.471 0.500 0.154
0.532 0.000 0.345
0.532 0.500 0.845
0.969 0.000 0.490
0.969 0.500 0.990
```

d | The following is a DFT calculation (PBE with a Hubbard U) of a relaxed structure of CrHPdO.

As for the total magnetization: 3.84 μB/f.u. Its calculated volume is 49 Å³/cell. As for the space group: No. 1.

The structure in POSCAR format:
```
CrHPdO
1.0
-0.675 2.712 1.154
-1.655 1.981 -1.664
-4.415 -3.767 2.375
Cr H Pd O
1 1 1 1
direct
0.519 0.867 0.674
0.282 0.685 0.024
0.739 0.098 0.340
0.232 0.624 0.859
```

Relative calculated energies, zero for the most stable structure, unit meV/atom: a 140; b 106; c 0; d 68.